VASP calculation (GGA-PBEsol) on a geometry-optimized ScW2Br structure.

Lattice parameters (Å, degrees): 3.704 3.704 5.717 108.90 108.90 90.00
Positions (direct):
Br 0.500 0.500 0.000
W 0.750 0.250 0.500
W 0.250 0.750 0.500
Sc 0.000 0.000 0.000

Summary:
Symmetry: I4/mmm, No. 139
Formation energy from raw total energies in kJ/mol of atoms: 52.0

VASP calculation (GGA-PBEsol) on a geometry-optimized ScW2Br structure.

Lattice parameters (Å, degrees): 2.997 2.997 9.108 90.00 90.00 113.93
Positions (direct):
Sc 0.500 0.500 0.245
Br 0.000 0.000 0.470
W 0.000 0.000 0.998
W 0.500 0.500 0.787

Summary:
Symmetry: Cmm2, No. 35
Formation energy from raw total energies in kJ/mol of atoms: 21.4

VASP calculation (GGA-PBEsol) on a geometry-optimized YScBr2 structure.

Lattice parameters (Å, degrees): 3.466 4.875 4.875 90.00 90.00 90.00
Positions (direct):
Br 0.000 0.500 0.000
Br 0.000 0.000 0.500
Sc 0.500 0.500 0.500
Y 0.500 0.000 0.000

Summary:
Symmetry: P4/mmm, No. 123
Formation energy from raw total energies in kJ/mol of atoms: -78.4

VASP calculation (GGA-PBEsol) on a geometry-optimized YScBr2 structure.

Lattice parameters (Å, degrees): 5.286 5.286 5.286 60.00 60.00 60.00
Positions (direct):
Sc 0.500 0.500 0.500
Y 0.250 0.250 0.250
Br 0.000 0.000 0.000
Br 0.750 0.750 0.750

Summary:
Symmetry: F-43m, No. 216
Formation energy from raw total energies in kJ/mol of atoms: -22.5

VASP calculation (GGA-PBEsol) on a geometry-optimized YScBr2 structure.

Lattice parameters (Å, degrees): 3.586 3.586 7.945 90.00 90.00 90.00
Positions (direct):
Y 0.500 0.500 0.252
Br 0.000 0.000 0.042
Br 0.500 0.500 0.677
Sc 0.000 0.000 0.529

Summary:
Symmetry: P4mm, No. 99
Formation energy from raw total energies in kJ/mol of atoms: -110.9

VASP calculation (GGA-PBEsol) on a geometry-optimized YScBr2 structure.

Lattice parameters (Å, degrees): 3.428 5.782 5.782 64.30 72.76 72.76
Positions (direct):
Sc 0.500 0.000 0.000
Br 0.240 0.760 0.760
Br 0.760 0.240 0.240
Y 0.000 0.500 0.500

Summary:
Symmetry: Immm, No. 71
Formation energy from raw total energies in kJ/mol of atoms: -85.3

VASP calculation (GGA-PBEsol) on a geometry-optimized YSc4Br structure.

Lattice parameters (Å, degrees): 6.092 6.092 6.092 60.00 60.00 60.00
Positions (direct):
Y 0.750 0.750 0.750
Sc 0.867 0.378 0.378
Sc 0.378 0.378 0.867
Sc 0.378 0.867 0.378
Sc 0.378 0.378 0.378
Br 0.000 0.000 0.000

Summary:
Symmetry: F-43m, No. 216
Formation energy from raw total energies in kJ/mol of atoms: 24.2

VASP calculation (GGA-PBEsol) on a geometry-optimized YSc2Br structure.

Lattice parameters (Å, degrees): 3.336 5.259 5.552 90.00 90.00 90.00
Positions (direct):
Sc 0.000 0.000 0.000
Sc 0.500 0.500 0.000
Br 0.000 0.500 0.500
Y 0.500 0.000 0.500

Summary:
Symmetry: Pmmm, No. 47
Formation energy from raw total energies in kJ/mol of atoms: -20.5

VASP calculation (GGA-PBEsol) on a geometry-optimized YSc2Br structure.

Lattice parameters (Å, degrees): 3.394 5.684 5.684 116.80 90.00 90.00
Positions (direct):
Y 0.500 0.000 0.000
Sc 0.000 0.500 0.000
Sc 0.000 0.000 0.500
Br 0.500 0.500 0.500

Summary:
Symmetry: Cmmm, No. 65
Formation energy from raw total energies in kJ/mol of atoms: -12.8

VASP calculation (GGA-PBEsol) on a geometry-optimized Y3ScBr structure.

Lattice parameters (Å, degrees): 5.298 5.298 5.298 90.00 90.00 90.00
Positions (direct):
Y 0.000 0.000 0.500
Y 0.500 0.000 0.000
Y 0.000 0.500 0.000
Br 0.000 0.000 0.000
Sc 0.500 0.500 0.500

Summary:
Symmetry: Pm-3m, No. 221
Formation energy from raw total energies in kJ/mol of atoms: -17.9

VASP calculation (GGA-PBEsol) on a geometry-optimized Sc2ZnBr structure.

Lattice parameters (Å, degrees): 3.197 5.001 5.001 93.21 97.81 97.81
Positions (direct):
Sc 0.000 0.500 0.000
Sc 0.000 0.000 0.500
Br 0.500 0.500 0.500
Zn 0.500 0.000 0.000

Summary:
Symmetry: C2/m, No. 12
Formation energy from raw total energies in kJ/mol of atoms: -39.7

VASP calculation (GGA-PBEsol) on a geometry-optimized ZrScBr2 structure.

Lattice parameters (Å, degrees): 3.221 3.429 9.065 90.00 90.00 118.01
Positions (direct):
Zr 0.500 0.000 0.000
Br 0.000 0.000 0.249
Br 0.000 0.000 0.751
Sc 0.500 0.000 0.500

Summary:
Symmetry: Cmmm, No. 65
Formation energy from raw total energies in kJ/mol of atoms: -56.5

VASP calculation (GGA-PBEsol) on a geometry-optimized ZrScBr structure.

Lattice parameters (Å, degrees): 4.499 4.499 4.499 60.00 60.00 60.00
Positions (direct):
Sc 0.000 0.000 0.000
Br 0.250 0.250 0.250
Zr 0.500 0.500 0.500

Summary:
Symmetry: F-43m, No. 216
Formation energy from raw total energies in kJ/mol of atoms: -0.3

VASP calculation (GGA-PBEsol) on a geometry-optimized SeBr4 structure.

Lattice parameters (Å, degrees): 10.281 10.281 29.325 90.00 90.00 120.00
Positions (direct):
Br 0.835 0.269 0.045
Br 0.371 0.928 0.142
Br 0.775 0.974 0.641
Br 0.667 0.333 0.945
Br 0.798 0.805 0.746
Br 0.495 0.576 0.946
Br 0.062 0.821 0.439
Br 0.938 0.758 0.939
Br 0.504 0.889 0.235
Br 0.992 0.195 0.246
Br 0.242 0.179 0.939
Br 0.765 0.184 0.536
Br 0.816 0.581 0.536
Br 0.410 0.289 0.343
Br 0.731 0.566 0.045
Br 0.184 0.765 0.036
Br 0.496 0.384 0.735
Br 0.919 0.424 0.446
Br 0.434 0.165 0.045
Br 0.333 0.667 0.445
Br 0.711 0.122 0.343
Br 0.122 0.711 0.843
Br 0.202 0.008 0.246
Br 0.419 0.235 0.536
Br 0.165 0.434 0.545
Br 0.889 0.504 0.735
Br 0.443 0.072 0.642
Br 0.758 0.938 0.439
Br 0.384 0.496 0.235
Br 0.821 0.062 0.939
Br 0.928 0.371 0.642
Br 0.225 0.198 0.141
Br 0.142 0.439 0.338
Br 0.198 0.225 0.641
Br 0.111 0.616 0.235
Br 0.289 0.410 0.843
Br 0.858 0.297 0.838
Br 0.590 0.878 0.843
Br 0.581 0.816 0.036
Br 0.026 0.802 0.641
Br 0.297 0.858 0.338
Br 0.195 0.992 0.746
Br 0.566 0.731 0.545
Br 0.439 0.142 0.838
Br 0.081 0.505 0.946
Br 0.072 0.443 0.142
Br 0.235 0.419 0.036
Br 0.000 0.000 0.032
Br 0.269 0.835 0.545
Br 0.629 0.557 0.642
Br 0.616 0.111 0.735
Br 0.179 0.242 0.439
Br 0.703 0.561 0.838
Br 0.008 0.202 0.746
Br 0.424 0.919 0.946
Br 0.805 0.798 0.246
Br 0.802 0.026 0.141
Br 0.561 0.703 0.338
Br 0.505 0.081 0.446
Br 0.974 0.775 0.141
Br 0.576 0.495 0.446
Br 0.878 0.590 0.343
Br 0.000 0.000 0.532
Br 0.557 0.629 0.142
Se 0.441 0.372 0.896
Se 0.031 0.259 0.085
Se 0.000 0.000 0.704
Se 0.667 0.333 0.778
Se 0.228 0.969 0.085
Se 0.372 0.441 0.396
Se 0.628 0.069 0.896
Se 0.741 0.772 0.085
Se 0.969 0.228 0.585
Se 0.069 0.628 0.396
Se 0.333 0.667 0.278
Se 0.559 0.931 0.396
Se 0.000 0.000 0.204
Se 0.772 0.741 0.585
Se 0.259 0.031 0.585
Se 0.931 0.559 0.896

Summary:
Symmetry: P31c, No. 159
Formation energy from raw total energies in kJ/mol of atoms: -12.3

VASP calculation (GGA-PBEsol) on a geometry-optimized SiSeBr2 structure.

Lattice parameters (Å, degrees): 3.332 4.938 6.968 110.48 90.00 90.00
Positions (direct):
Br 0.000 0.639 0.781
Br 0.000 0.361 0.219
Si 0.500 0.500 0.500
Se 0.500 0.000 0.500

Summary:
Symmetry: P2/m, No. 10
Formation energy from raw total energies in kJ/mol of atoms: -12.6

VASP calculation (GGA-PBEsol) on a geometry-optimized SiSeBr2 structure.

Lattice parameters (Å, degrees): 3.058 3.058 11.000 82.01 82.01 60.00
Positions (direct):
Br 0.072 0.072 0.785
Br 0.928 0.928 0.215
Si 0.000 0.000 0.000
Se 0.500 0.500 0.500

Summary:
Symmetry: R-3m, No. 166
Formation energy from raw total energies in kJ/mol of atoms: 39.6

VASP calculation (GGA-PBEsol) on a geometry-optimized SiSeBr2 structure.

Lattice parameters (Å, degrees): 4.740 4.740 5.395 113.82 113.82 94.61
Positions (direct):
Br 0.500 0.000 0.500
Br 0.000 0.500 0.500
Se 0.000 0.000 0.000
Si 0.500 0.500 0.000

Summary:
Symmetry: Fmmm, No. 69
Formation energy from raw total energies in kJ/mol of atoms: 24.6

VASP calculation (GGA-PBEsol) on a geometry-optimized SiSnSeBr2 structure.

Lattice parameters (Å, degrees): 4.985 4.985 5.073 90.00 90.00 90.00
Positions (direct):
Br 0.500 0.000 0.000
Br 0.000 0.500 0.000
Si 0.000 0.000 0.000
Sn 0.500 0.500 0.500
Se 0.000 0.000 0.500

Summary:
Symmetry: P4/mmm, No. 123
Formation energy from raw total energies in kJ/mol of atoms: -9.7

VASP calculation (GGA-PBEsol) on a geometry-optimized SiSnSe2Br structure.

Lattice parameters (Å, degrees): 4.900 4.900 4.951 90.00 90.00 90.00
Positions (direct):
Br 0.000 0.000 0.500
Sn 0.500 0.500 0.500
Se 0.500 0.000 0.000
Se 0.000 0.500 0.000
Si 0.000 0.000 0.000

Summary:
Symmetry: P4/mmm, No. 123
Formation energy from raw total energies in kJ/mol of atoms: -6.7

VASP calculation (GGA-PBEsol) on a geometry-optimized SiTcSe2Br structure.

Lattice parameters (Å, degrees): 4.831 4.831 4.874 90.00 90.00 90.00
Positions (direct):
Si 0.000 0.000 0.000
Se 0.500 0.000 0.000
Se 0.000 0.500 0.000
Tc 0.500 0.500 0.500
Br 0.000 0.000 0.500

Summary:
Symmetry: P4/mmm, No. 123
Formation energy from raw total energies in kJ/mol of atoms: 82.2

VASP calculation (GGA-PBEsol) on a geometry-optimized TiSiSe2Br structure.

Lattice parameters (Å, degrees): 4.813 4.813 4.813 90.00 90.00 90.00
Positions (direct):
Br 0.500 0.000 0.000
Ti 0.500 0.500 0.500
Se 0.000 0.500 0.000
Se 0.000 0.000 0.500
Si 0.000 0.000 0.000

Summary:
Symmetry: P4/mmm, No. 123
Formation energy from raw total energies in kJ/mol of atoms: 20.1

VASP calculation (GGA-PBEsol) on a geometry-optimized SiWSe2Br structure.

Lattice parameters (Å, degrees): 4.853 4.853 5.049 90.00 90.00 90.00
Positions (direct):
Se 0.500 0.000 0.000
Se 0.000 0.500 0.000
W 0.000 0.000 0.000
Br 0.000 0.000 0.500
Si 0.500 0.500 0.500

Summary:
Symmetry: P4/mmm, No. 123
Formation energy from raw total energies in kJ/mol of atoms: 64.0

VASP calculation (GGA-PBEsol) on a geometry-optimized ZnSiSe2Br structure.

Lattice parameters (Å, degrees): 4.815 4.815 4.982 90.00 90.00 90.00
Positions (direct):
Se 0.500 0.000 0.000
Se 0.000 0.500 0.000
Br 0.000 0.000 0.500
Si 0.500 0.500 0.500
Zn 0.000 0.000 0.000

Summary:
Symmetry: P4/mmm, No. 123
Formation energy from raw total energies in kJ/mol of atoms: 38.2

VASP calculation (GGA-PBEsol) on a geometry-optimized Sn3SeBr structure.

Lattice parameters (Å, degrees): 5.483 5.483 5.483 90.00 90.00 90.00
Positions (direct):
Sn 0.000 0.000 0.500
Sn 0.500 0.000 0.000
Sn 0.000 0.500 0.000
Br 0.000 0.000 0.000
Se 0.500 0.500 0.500

Summary:
Symmetry: Pm-3m, No. 221
Formation energy from raw total energies in kJ/mol of atoms: 69.4

VASP calculation (GGA-PBEsol) on a geometry-optimized SnTeSeBr2 structure.

Lattice parameters (Å, degrees): 5.521 5.426 5.426 90.00 90.00 90.00
Positions (direct):
Br 0.000 0.000 0.500
Br 0.000 0.500 0.000
Sn 0.500 0.500 0.500
Se 0.500 0.000 0.000
Te 0.000 0.000 0.000

Summary:
Symmetry: P4/mmm, No. 123
Formation energy from raw total energies in kJ/mol of atoms: 16.8